Record 1
Computed, not measured: a relaxed structure of TmSc4In at the PBE-GGA level of DFT.

Structure (POSCAR):
```
TmSc4In
1.0
4.900 -2.844 0.000
4.900 2.844 0.000
-3.058 0.000 10.588
Tm Sc In
2 8 2
direct
0.000 0.500 0.000
0.500 0.000 0.500
0.165 0.671 0.498
0.254 0.418 0.750
0.329 0.835 0.002
0.418 0.254 0.250
0.582 0.746 0.750
0.671 0.165 0.998
0.746 0.582 0.250
0.835 0.329 0.502
0.077 0.923 0.250
0.923 0.077 0.750
```

ρ: 5.22 g/cm3
Spin magnetization: 0.00 μB/f.u.
Space group: C2/c
Formation energy: -108.5 meV/atom
Polymorph energy (0 for the lowest one): 59 meV/atom


Record 2
Computed, not measured: a relaxed structure of Tm3Sc4In4 at the PBE-GGA level of DFT.

Structure (POSCAR):
```
Tm3Sc4In4
1.0
-2.538 3.363 8.265
2.538 -3.363 8.265
2.538 3.363 -8.265
Tm Sc In
3 4 4
direct
0.000 0.000 0.000
0.391 0.891 0.500
0.609 0.109 0.500
0.050 0.320 0.730
0.410 0.680 0.730
0.590 0.320 0.270
0.950 0.680 0.270
0.181 0.181 0.000
0.280 0.500 0.780
0.720 0.500 0.220
0.819 0.819 0.000
```

ρ: 6.74 g/cm3
Spin magnetization: 0.00 μB/f.u.
Space group: Immm
Formation energy: -253.0 meV/atom


Record 3
Computed, not measured: a relaxed structure of Tm12Sc7In at the PBE-GGA level of DFT.

Structure (POSCAR):
```
Tm12Sc7In
1.0
6.540 3.776 3.754
-6.540 3.776 3.754
0.000 -7.552 3.754
Tm Sc In
12 7 1
direct
0.001 0.261 0.739
0.160 0.421 0.165
0.165 0.160 0.421
0.261 0.739 0.001
0.261 0.999 0.739
0.421 0.165 0.160
0.579 0.835 0.840
0.739 0.001 0.261
0.739 0.261 0.999
0.835 0.840 0.579
0.840 0.579 0.835
0.999 0.739 0.261
0.000 0.000 0.000
0.181 0.592 0.593
0.407 0.819 0.408
0.408 0.407 0.819
0.592 0.593 0.181
0.593 0.181 0.592
0.819 0.408 0.407
0.500 0.500 0.500
```

ρ: 7.34 g/cm3
Spin magnetization: 0.00 μB/f.u.
Space group: R-3
Formation energy: 52.3 meV/atom


Record 4
Computed, not measured: a relaxed structure of TmScIn at the PBE-GGA level of DFT.

Structure (POSCAR):
```
TmScIn
1.0
5.156 0.000 0.000
-2.578 4.465 0.000
0.000 0.000 6.531
Tm Sc In
2 2 2
direct
0.000 0.000 0.000
0.000 0.000 0.500
0.333 0.667 0.250
0.667 0.333 0.750
0.333 0.667 0.750
0.667 0.333 0.250
```

ρ: 7.26 g/cm3
Spin magnetization: 0.00 μB/f.u.
Space group: P6_3/mmc
Formation energy: -365.5 meV/atom
Polymorph energy (0 for the lowest one): 0 meV/atom